VASP calculation (PBE) on a geometry-optimized PrHfZr structure.

Lattice parameters (Å, degrees): 7.0579 7.0579 7.0579 90.00 90.00 90.00
Space group F-43m (No. 216)
One atom of each set of equivalent atoms:
Pr 0.0000 0.0000 0.0000
Hf 0.2500 0.2500 0.7500
Zr 0.2500 0.2500 0.2500

Values from the calculation:
* spin magnetization: 3.10 μB per cell
* distance to the lowest polymorph of the same formula: 0.287 eV per atom
* volume: 88 Å³/f.u.
* E_form: 1.193 eV/atom

VASP calculation (PBE) on a geometry-optimized Hf2Pt structure.

Lattice parameters (Å, degrees): 7.7404 7.7404 7.7404 90.00 90.00 90.00
Space group Fd-3m (No. 227, origin choice 2)
One atom of each set of equivalent atoms:
Hf 0.0000 0.0000 0.0000
Pt 0.1250 0.1250 0.6250

Values from the calculation:
* spin magnetization: 0.02 μB per cell
* volume: 58 Å³/f.u.
* E_form: 0.107 eV/atom

VASP calculation (PBE) on a geometry-optimized Hf3Pt structure.

Lattice parameters (Å, degrees): 5.6243 10.7700 10.7732 90.00 90.00 90.00
Space group I222 (No. 23)
One atom of each set of equivalent atoms:
Hf 0.0000 0.0000 0.1477
Hf 0.0000 0.3522 0.5000
Hf 0.2167 0.0962 0.4040
Hf 0.2453 0.2064 0.7064
Pt 0.0000 0.2083 0.0000
Pt 0.0000 0.5000 0.2917

Values from the calculation:
* spin magnetization: 0.02 μB per cell
* volume: 82 Å³/f.u.
* E_form: -0.585 eV/atom

VASP calculation (PBE) on a geometry-optimized HfPt3 structure.

Lattice parameters (Å, degrees): 4.0308 4.0308 4.0308 90.00 90.00 90.00
Space group Pm-3m (No. 221)
One atom of each set of equivalent atoms:
Hf 0.0000 0.0000 0.0000
Pt 0.0000 0.5000 0.5000

Values from the calculation:
* spin magnetization: 0.00 μB per cell
* volume: 65 Å³/f.u.
* E_form: -1.098 eV/atom

VASP calculation (PBE) on a geometry-optimized Hf2Pt structure.

Lattice parameters (Å, degrees): 12.4474 12.4474 12.4474 90.00 90.00 90.00
Space group Fd-3m (No. 227, origin choice 2)
One atom of each set of equivalent atoms:
Hf 0.0000 0.0000 0.0000
Hf 0.0613 0.3750 0.8750
Pt 0.0277 0.0277 0.2223

Values from the calculation:
* spin magnetization: 0.01 μB per cell
* volume: 60 Å³/f.u.
* E_form: -0.784 eV/atom

VASP calculation (PBE) on a geometry-optimized Hf2Pt structure.

Lattice parameters (Å, degrees): 11.6206 11.6206 11.6206 90.00 90.00 90.00
Space group Fd-3m (No. 227, origin choice 2)
One atom of each set of equivalent atoms:
Hf 0.0000 0.0000 0.0000
Pt 0.1250 0.1250 0.1250

Values from the calculation:
* spin magnetization: 10.16 μB per cell
* volume: 196 Å³/f.u.
* E_form: 1.776 eV/atom

VASP calculation (PBE) on a geometry-optimized RbHfPt structure.

Lattice parameters (Å, degrees): 6.9023 6.9023 6.9023 90.00 90.00 90.00
Space group F-43m (No. 216)
One atom of each set of equivalent atoms:
Rb 0.0000 0.0000 0.0000
Hf 0.0000 0.0000 0.5000
Pt 0.2500 0.2500 0.7500

Values from the calculation:
* spin magnetization: 0.03 μB per cell
* distance to the lowest polymorph of the same formula: 0.000 eV per atom
* volume: 82 Å³/f.u.

VASP calculation (PBE) on a geometry-optimized RbHfPt structure.

Lattice parameters (Å, degrees): 6.7198 6.7198 6.7198 90.00 90.00 90.00
Space group F-43m (No. 216)
One atom of each set of equivalent atoms:
Rb 0.0000 0.0000 0.0000
Hf 0.2500 0.2500 0.7500
Pt 0.2500 0.2500 0.2500

Values from the calculation:
* spin magnetization: 0.01 μB per cell
* distance to the lowest polymorph of the same formula: 0.999 eV per atom
* volume: 76 Å³/f.u.

VASP calculation (PBE) on a geometry-optimized HfRe2Pt structure.

Lattice parameters (Å, degrees): 6.4013 6.4013 6.4013 90.00 90.00 90.00
Space group F-43m (No. 216)
One atom of each set of equivalent atoms:
Hf 0.0000 0.0000 0.0000
Re 0.0000 0.0000 0.5000
Re 0.2500 0.2500 0.2500
Pt 0.2500 0.2500 0.7500

Values from the calculation:
* spin magnetization: 0.00 μB per cell
* volume: 66 Å³/f.u.
* E_form: -0.089 eV/atom

VASP calculation (PBE) on a geometry-optimized Hf3Sb4Pt3 structure.

Lattice parameters (Å, degrees): 9.4159 9.4159 9.4159 90.00 90.00 90.00
Space group I-43d (No. 220)
One atom of each set of equivalent atoms:
Hf 0.0000 0.2500 0.3750
Sb 0.0942 0.0942 0.0942
Pt 0.0000 0.2500 0.8750

Values from the calculation:
* spin magnetization: 0.00 μB per cell
* electronic total energy: -7.18 eV per atom
* volume: 209 Å³/f.u.

VASP calculation (PBE) on a geometry-optimized Hf2SbPt structure.

Lattice parameters (Å, degrees): 6.8619 6.8619 6.8619 90.00 90.00 90.00
Space group F-43m (No. 216)
One atom of each set of equivalent atoms:
Hf 0.0000 0.0000 0.0000
Hf 0.2500 0.2500 0.2500
Sb 0.0000 0.0000 0.5000
Pt 0.2500 0.2500 0.7500

Values from the calculation:
* spin magnetization: 5.47 μB per cell
* electronic total energy: -7.59 eV per atom
* volume: 81 Å³/f.u.

VASP calculation (PBE) on a geometry-optimized Hf3Sb2Pt2 structure.

Lattice parameters (Å, degrees): 4.7261 4.7261 23.2917 90.00 90.00 120.00
Space group R3m (No. 160, hexagonal axes)
One atom of each set of equivalent atoms:
Hf 0.0000 0.0000 0.0000
Hf 0.0000 0.0000 0.2458
Hf 0.0000 0.0000 0.4982
Sb 0.0000 0.0000 0.1194
Sb 0.0000 0.0000 0.6277
Pt 0.0000 0.0000 0.3774
Pt 0.0000 0.0000 0.8635

Values from the calculation:
* spin magnetization: 0.06 μB per cell
* electronic total energy: -7.61 eV per atom
* volume: 150 Å³/f.u.

> Which of these has the lowest volume?

number 2